DFT (GGA-PBE) results for a geometry-optimized TlTcP2 structure.

Lattice parameters (Å, degrees): 3.707 3.687 5.481 90.00 90.22 90.00
Element x y z (fractional)
Tl 0.000 0.000 0.000
Tc 0.500 0.500 0.500
P 0.000 0.000 0.500
P 0.500 0.500 0.000

- Formation energy: 0.58 eV/atom
- Raw total energy: -0.39037 Ry per atom
- Magnetic moment: 1.78 μB per formula unit